Record 1
Here is a geometry-optimized Pr6Si2PbSe3 structure from Alexandria. Energies are from GGA-PBE.

theoretical density	6.365	Mg/m³
E_tot	-68.648	eV/cell
space-group type	No. 12
formation energy without anion corrections	-1.247	eV/atom
N(E_F)	3.356	states/eV/f.u.
calculated volume	29.25	Å³/atom

abc: 9.7490 9.7490 8.7824
angles: 103.25 103.25 25.64
Fractional coordinates of all 12 atoms:
Pr (0.0036, 0.0036, 0.2634)
Pr (0.3285, 0.3285, 0.9037)
Pr (0.3298, 0.3298, 0.4232)
Pr (0.6702, 0.6702, 0.5768)
Pr (0.6715, 0.6715, 0.0963)
Pr (0.9964, 0.9964, 0.7366)
Si (0.1671, 0.1671, 0.3345)
Si (0.8329, 0.8329, 0.6655)
Pb (0.5000, 0.5000, 0.0000)
Se (0.1655, 0.1655, 0.8319)
Se (0.5000, 0.5000, 0.5000)
Se (0.8345, 0.8345, 0.1681)

***

Record 2
Here is a geometry-optimized Pr4SnPbSe2 structure from Alexandria. Energies are from GGA-PBE.

theoretical density	7.030	Mg/m³
E_tot	-43.668	eV/cell
space-group type	No. 10
formation energy without anion corrections	-1.234	eV/atom
N(E_F)	3.411	states/eV/f.u.
calculated volume	30.93	Å³/atom

abc: 7.6445 4.4171 7.7564
angles: 90.00 109.15 90.00
Fractional coordinates of all 8 atoms:
Pr (0.2442, 0.0000, 0.2377)
Pr (0.2512, 0.5000, 0.7604)
Pr (0.7488, 0.5000, 0.2396)
Pr (0.7558, 0.0000, 0.7623)
Sn (0.0000, 0.0000, 0.5000)
Pb (0.5000, 0.5000, 0.5000)
Se (0.0000, 0.5000, 0.0000)
Se (0.5000, 0.0000, 0.0000)

***

Record 3
Here is a geometry-optimized Pr6SnPb2Se3 structure from Alexandria. Energies are from GGA-PBE.

theoretical density	7.209	Mg/m³
E_tot	-65.177	eV/cell
space-group type	No. 12
formation energy without anion corrections	-1.219	eV/atom
N(E_F)	4.391	states/eV/f.u.
calculated volume	31.01	Å³/atom

abc: 9.9570 9.9570 8.9249
angles: 103.74 103.74 25.70
Fractional coordinates of all 12 atoms:
Pr (0.0030, 0.0030, 0.2466)
Pr (0.3316, 0.3316, 0.4249)
Pr (0.3368, 0.3368, 0.9094)
Pr (0.6632, 0.6632, 0.0906)
Pr (0.6684, 0.6684, 0.5751)
Pr (0.9970, 0.9970, 0.7534)
Sn (0.5000, 0.5000, 0.5000)
Pb (0.1669, 0.1669, 0.8335)
Pb (0.8331, 0.8331, 0.1665)
Se (0.1667, 0.1667, 0.3335)
Se (0.5000, 0.5000, 0.0000)
Se (0.8333, 0.8333, 0.6665)

***

Record 4
Here is a geometry-optimized TbPrPbSe structure from Alexandria. Energies are from GGA-PBE.

theoretical density	8.184	Mg/m³
E_tot	-21.287	eV/cell
space-group type	No. 123
formation energy without anion corrections	-1.171	eV/atom
N(E_F)	1.086	states/eV/f.u.
calculated volume	29.73	Å³/atom

abc: 4.3644 4.3644 6.2421
angles: 90.00 90.00 90.00
Fractional coordinates of all 4 atoms:
Tb (0.0000, 0.0000, 0.0000)
Pr (0.5000, 0.5000, 0.5000)
Pb (0.5000, 0.5000, 0.0000)
Se (0.0000, 0.0000, 0.5000)